[1]
# PBE-GGA NdNiSn, relaxed
data_NdNiSn
_symmetry_space_group_name_H-M 'P n m a'
_symmetry_Int_Tables_number 62
_cell_length_a 7.4837
_cell_length_b 4.5933
_cell_length_c 7.6819
_cell_angle_alpha 90.00
_cell_angle_beta 90.00
_cell_angle_gamma 90.00
loop_
_symmetry_equiv_pos_as_xyz
'x,y,z'
'-x,-y,-z'
'-x+1/2,-y,z+1/2'
'x+1/2,y,-z+1/2'
'x+1/2,-y+1/2,-z+1/2'
'-x+1/2,y+1/2,z+1/2'
'-x,y+1/2,-z'
'x,-y+1/2,z'
loop_
_atom_site_label
_atom_site_type_symbol
_atom_site_fract_x
_atom_site_fract_y
_atom_site_fract_z
_atom_site_occupancy
Nd1 Nd 0.0199 0.2500 0.1962 1
Ni1 Ni 0.1914 0.7500 0.4163 1
Sn1 Sn 0.1838 0.2500 0.5893 1
# - DFT total energy: -65.7 eV for the cell shown
# - Mass density: 8.09 g cm⁻³
# - Calculated formation energy: -0.63 eV per atom


[2]
# PBE-GGA HoEr8Al2, relaxed
data_HoEr8Al2
_symmetry_space_group_name_H-M 'C 1 2/m 1'
_symmetry_Int_Tables_number 12
_cell_length_a 8.7274
_cell_length_b 14.5124
_cell_length_c 5.4925
_cell_angle_alpha 90.00
_cell_angle_beta 112.78
_cell_angle_gamma 90.00
loop_
_symmetry_equiv_pos_as_xyz
'x,y,z'
'-x,-y,-z'
'-x,y,-z'
'x,-y,z'
'x+1/2,y+1/2,z'
'-x+1/2,-y+1/2,-z'
'-x+1/2,y+1/2,-z'
'x+1/2,-y+1/2,z'
loop_
_atom_site_label
_atom_site_type_symbol
_atom_site_fract_x
_atom_site_fract_y
_atom_site_fract_z
_atom_site_occupancy
Ho1 Ho 0.0000 0.0000 0.0000 1
Er1 Er 0.0000 0.2228 0.0000 1
Er2 Er 0.0977 0.5000 0.7965 1
Er3 Er 0.2072 0.1186 0.6123 1
Al1 Al 0.0000 0.3080 0.5000 1
# - DFT total energy: -96.9 eV for the cell shown
# - Energy above the lowest structure with this stoichiometry: 1.35 eV/f.u.
# - Mass density: 8.06 g cm⁻³
# - Calculated formation energy: 0.01 eV per atom